(1)
Here is a geometry-optimized VSb2As2 structure from Alexandria. Energies are from GGA-PBE.

Computed properties:
D(E_F) in states/eV/cell: 6.15
Formation energy from raw total energies in eV/f.u.: 2.9
Space-group type: I4/mmm (139)

Unit cell a=8.4098 b=8.4098 c=8.4098 alpha=152.41 beta=152.41 gamma=39.42
With the nearest neighbours (Å) after each atom.
Sites, in units of the cell vectors:
V (0.0000, 0.0000, 0.0000)  8 As 3.09
Sb (0.2500, 0.7500, 0.5000)  4 Sb 2.84
Sb (0.7500, 0.2500, 0.5000)  4 Sb 2.84
As (0.4233, 0.4233, 0.0000)  1 As 2.43
As (0.5767, 0.5767, 0.0000)  1 As 2.43

---

(2)
Here is a geometry-optimized Li2IO5 structure from Alexandria. Energies are from GGA-PBE.

Computed properties:
D(E_F) in states/eV/cell: 5.07
Formation energy from raw total energies in eV/f.u.: -6.8
Space-group type: C2/c (15)

Unit cell a=5.8901 b=5.8901 c=7.2840 alpha=110.02 beta=110.02 gamma=52.20
With the nearest neighbours (Å) after each atom.
Sites, in units of the cell vectors:
Li (0.1339, 0.1506, 0.2528)  4 O 2.00-2.18
Li (0.1506, 0.1339, 0.7528)  4 O 2.00-2.18
Li (0.8494, 0.8661, 0.2472)  4 O 2.00-2.18
Li (0.8661, 0.8494, 0.7472)  4 O 2.00-2.18
I (0.5000, 0.5000, 0.0000)  6 O 1.84-2.02
I (0.5000, 0.5000, 0.5000)  6 O 1.84-2.02
O (0.1107, 0.7260, 0.5311)  1 I 1.87
O (0.1859, 0.4750, 0.8645)  1 I 1.84, 2 Li 2.00-2.06
O (0.2740, 0.8893, 0.9689)  1 I 1.87
O (0.3334, 0.6666, 0.2500)  2 I 2.02
O (0.4750, 0.1859, 0.3645)  1 I 1.84, 2 Li 2.00-2.06
O (0.5250, 0.8141, 0.6355)  1 I 1.84, 2 Li 2.00-2.06
O (0.6666, 0.3334, 0.7500)  2 I 2.02
O (0.7260, 0.1107, 0.0311)  1 I 1.87
O (0.8141, 0.5250, 0.1355)  1 I 1.84, 2 Li 2.00-2.06
O (0.8893, 0.2740, 0.4689)  1 I 1.87

---

(3)
Here is a geometry-optimized Dy5Y2Sb4 structure from Alexandria. Energies are from GGA-PBE.

Computed properties:
D(E_F) in states/eV/cell: 12.01
Formation energy from raw total energies in eV/f.u.: -5.3
Space-group type: C2/m (12)

Unit cell a=12.9621 b=12.9621 c=6.9597 alpha=92.00 beta=92.00 gamma=17.87
With the nearest neighbours (Å) after each atom.
Sites, in units of the cell vectors:
Dy (0.0000, 0.0000, 0.0000)  4 Sb 3.02
Dy (0.3578, 0.3578, 0.8077)  3 Sb 3.01-3.09
Dy (0.4083, 0.4083, 0.2994)  4 Sb 3.11-3.16
Dy (0.5917, 0.5917, 0.7006)  4 Sb 3.11-3.16
Dy (0.6422, 0.6422, 0.1923)  3 Sb 3.01-3.09
Y (0.2638, 0.2638, 0.2279)  3 Sb 3.13-3.16
Y (0.7362, 0.7362, 0.7721)  3 Sb 3.13-3.16
Sb (0.1711, 0.1711, 0.5166)  4 Dy 3.09-3.16, 3 Y 3.13-3.16
Sb (0.4698, 0.4698, 0.6924)  5 Dy 3.01-3.12, 1 Sb 3.14
Sb (0.5302, 0.5302, 0.3076)  5 Dy 3.01-3.12, 1 Sb 3.14
Sb (0.8289, 0.8289, 0.4834)  4 Dy 3.09-3.16, 3 Y 3.13-3.16

---

(4)
Here is a geometry-optimized TlTcSb2I structure from Alexandria. Energies are from GGA-PBE.

Computed properties:
D(E_F) in states/eV/cell: 3.21
Formation energy from raw total energies in eV/f.u.: 1.3
Space-group type: P4/mmm (123)

Unit cell a=5.1152 b=5.1152 c=6.1266 alpha=90.00 beta=90.00 gamma=90.00
With the nearest neighbours (Å) after each atom.
Sites, in units of the cell vectors:
Tl (0.0000, 0.0000, 0.0000)  4 I 3.62, 8 Sb 3.99
Tc (0.5000, 0.5000, 0.5000)  4 Sb 2.56
Sb (0.0000, 0.5000, 0.5000)  2 Tc 2.56
Sb (0.5000, 0.0000, 0.5000)  2 Tc 2.56
I (0.5000, 0.5000, 0.0000)  2 Tc 3.06

---

(5)
Here is a geometry-optimized AlAgOs structure from Alexandria. Energies are from GGA-PBE.

Computed properties:
D(E_F) in states/eV/cell: 2.13
DFT formation energy in kJ/mol of formula units: 43
Space-group type: P3m1 (156)

Unit cell a=2.8419 b=2.8419 c=6.6500 alpha=90.00 beta=90.00 gamma=120.00
With the nearest neighbours (Å) after each atom.
Sites, in units of the cell vectors:
Al (0.0000, 0.0000, 0.0000)  3 Os 2.55, 3 Ag 2.78, 6 Al 2.84
Ag (0.6667, 0.3333, 0.6626)  3 Al 2.78, 6 Ag 2.84, 3 Os 2.95
Os (0.3333, 0.6667, 0.2937)  3 Al 2.55, 6 Os 2.84

---

(6)
Here is a geometry-optimized DyTiZn4 structure from Alexandria. Energies are from GGA-PBE.

Computed properties:
D(E_F) in states/eV/cell: 6.63
DFT formation energy in kJ/mol of formula units: -128
Space-group type: F-43m (216)

Unit cell a=5.2731 b=5.2731 c=5.2731 alpha=60.00 beta=60.00 gamma=60.00
With the nearest neighbours (Å) after each atom.
Sites, in units of the cell vectors:
Dy (0.0000, 0.0000, 0.0000)  12 Zn 3.09, 4 Ti 3.23
Ti (0.2500, 0.2500, 0.2500)  12 Zn 3.09, 4 Dy 3.23
Zn (0.1273, 0.6242, 0.6242)  6 Zn 2.62-2.65
Zn (0.6242, 0.1273, 0.6242)  6 Zn 2.62-2.65
Zn (0.6242, 0.6242, 0.1273)  6 Zn 2.62-2.65
Zn (0.6242, 0.6242, 0.6242)  6 Zn 2.62-2.65